A relaxed AcLa3Dy crystal. Source: the Alexandria database, functional GGA-PBE.

Calculated values
Space group: No. 2
Crystal system: triclinic

Structure (POSCAR):
```
AcLa3Dy
1.0
3.781 -0.025 -0.004
0.080 10.034 5.927
0.022 2.154 11.426
La Ac Dy
6 2 2
direct
0.757 0.585 0.396 La
0.758 0.189 0.627 La
0.758 0.633 0.700 La
0.757 0.259 0.072 La
0.758 0.029 0.469 La
0.758 0.958 0.024 La
0.259 0.806 0.852 Ac
0.256 0.412 0.244 Ac
0.258 0.888 0.328 Dy
0.258 0.329 0.767 Dy
```

A relaxed Ac2La5Dy5 crystal. Source: the Alexandria database, functional GGA-PBE.

Calculated values
Space group: No. 12
Crystal system: monoclinic

Structure (POSCAR):
```
Ac2La5Dy5
1.0
-4.246 -1.251 2.773
3.400 -8.440 6.319
-0.989 5.702 5.976
Dy La Ac
5 5 2
direct
0.336 0.244 0.084 Dy
0.665 0.002 0.668 Dy
0.664 0.756 0.916 Dy
0.335 0.998 0.332 Dy
0.000 0.500 0.500 Dy
0.674 0.241 0.410 La
0.000 0.000 0.000 La
0.006 0.242 0.746 La
0.326 0.759 0.590 La
0.994 0.758 0.254 La
0.338 0.500 0.825 Ac
0.662 0.500 0.175 Ac
```

A relaxed AcLaDy2 crystal. Source: the Alexandria database, functional GGA-PBE.

Calculated values
Space group: No. 10
Crystal system: monoclinic

Structure (POSCAR):
```
AcLaDy2
1.0
3.621 0.000 0.000
0.000 8.130 -3.435
0.000 -3.356 11.379
Dy La Ac
4 2 2
direct
0.000 0.233 0.379 Dy
0.000 0.767 0.621 Dy
0.500 0.783 0.131 Dy
0.500 0.217 0.869 Dy
0.500 0.000 0.500 La
0.000 0.000 0.000 La
0.500 0.480 0.255 Ac
0.500 0.520 0.745 Ac
```

no.,formation energy (eV/f.u.),Fermi-level density of states (states/eV per cell)
1,0.4,17.97
2,0.5,20.20
3,0.6,13.00